Material: MoO2F2
Method: DFT, GGA-PBEsol
State: relaxed

Output
- space group = No. 123
- energy relative to the elements, uncorrected (eV per atom) = 0.525

Structure (CIF):
```
data_MoO2F2
_chemical_formula_sum 'Mo1 O2 F2'
_space_group_name_H-M_alt 'P 1'
_space_group_IT_number 1
_space_group_name_Hall 'P 1'
_cell_length_a 2.947
_cell_length_b 4.336
_cell_length_c 4.336
_cell_angle_alpha 90.00
_cell_angle_beta 90.00
_cell_angle_gamma 90.00
loop_
_atom_site_label
_atom_site_type_symbol
_atom_site_fract_x
_atom_site_fract_y
_atom_site_fract_z
Mo1 Mo 0.500 0.500 0.500
O1 O 0.000 0.000 0.000
O2 O 0.500 0.000 0.000
F1 F 0.000 0.000 0.500
F2 F 0.000 0.500 0.000
```

---

Material: MoOsOF2
Method: DFT, GGA-PBEsol
State: relaxed

Output
- space group = No. 123
- energy relative to the elements, uncorrected (eV per atom) = 0.160

Structure (CIF):
```
data_MoOsOF2
_chemical_formula_sum 'Mo1 Os1 O1 F2'
_space_group_name_H-M_alt 'P 1'
_space_group_IT_number 1
_space_group_name_Hall 'P 1'
_cell_length_a 3.705
_cell_length_b 4.374
_cell_length_c 4.374
_cell_angle_alpha 90.00
_cell_angle_beta 90.00
_cell_angle_gamma 90.00
loop_
_atom_site_label
_atom_site_type_symbol
_atom_site_fract_x
_atom_site_fract_y
_atom_site_fract_z
Mo1 Mo 0.500 0.500 0.500
Os1 Os 0.000 0.000 0.000
O1 O 0.500 0.000 0.000
F1 F 0.000 0.000 0.500
F2 F 0.000 0.500 0.000
```

---

Material: MoPbO2F
Method: DFT, GGA-PBEsol
State: relaxed

Output
- space group = No. 123
- energy relative to the elements, uncorrected (eV per atom) = -0.017

Structure (CIF):
```
data_MoPbO2F
_chemical_formula_sum 'Mo1 Pb1 O2 F1'
_space_group_name_H-M_alt 'P 1'
_space_group_IT_number 1
_space_group_name_Hall 'P 1'
_cell_length_a 4.276
_cell_length_b 4.276
_cell_length_c 4.370
_cell_angle_alpha 90.00
_cell_angle_beta 90.00
_cell_angle_gamma 90.00
loop_
_atom_site_label
_atom_site_type_symbol
_atom_site_fract_x
_atom_site_fract_y
_atom_site_fract_z
Pb1 Pb 0.000 0.000 0.000
Mo1 Mo 0.500 0.500 0.500
O1 O 0.000 0.500 0.000
O2 O 0.500 0.000 0.000
F1 F 0.000 0.000 0.500
```

---

Material: Rb2MoO2F4
Method: DFT, GGA-PBEsol
State: relaxed

Output
- space group = No. 36
- energy relative to the elements, uncorrected (eV per atom) = -2.599

Structure (CIF):
```
data_Rb2MoO2F4
_chemical_formula_sum 'Rb4 Mo2 O4 F8'
_space_group_name_H-M_alt 'P 1'
_space_group_IT_number 1
_space_group_name_Hall 'P 1'
_cell_length_a 5.939
_cell_length_b 7.062
_cell_length_c 7.662
_cell_angle_alpha 90.00
_cell_angle_beta 112.81
_cell_angle_gamma 90.00
loop_
_atom_site_label
_atom_site_type_symbol
_atom_site_fract_x
_atom_site_fract_y
_atom_site_fract_z
Rb1 Rb 0.774 0.497 0.547
Rb2 Rb 0.226 0.997 0.453
Rb3 Rb 0.548 0.004 0.095
Rb4 Rb 0.452 0.504 0.905
Mo1 Mo 0.883 0.984 0.767
Mo2 Mo 0.117 0.484 0.233
O1 O 0.895 0.331 0.240
O2 O 0.105 0.831 0.760
O3 O 0.655 0.831 0.760
O4 O 0.345 0.331 0.240
F1 F 0.747 0.026 0.494
F2 F 0.253 0.526 0.506
F3 F 0.103 0.205 0.760
F4 F 0.897 0.705 0.240
F5 F 0.343 0.705 0.240
F6 F 0.657 0.205 0.760
F7 F 0.984 0.525 0.967
F8 F 0.016 0.025 0.033
```